## i
A plane-wave DFT calculation with PBE-GGA was carried out for crystalline LaPaSe4 at its relaxed geometry.

The mass density comes out at 7.3 g cm⁻³. As for the density of states at the Fermi level: 0.55 states/eV/atom.

The structure in extended XYZ format:
```
12
Lattice="6.685 0.000 0.000 0.000 5.866 0.000 -2.578 0.000 7.918" Properties=species:S:1:pos:R:3 pbc="T T T"
La 0.486 1.467 3.438
La 3.622 4.400 4.480
Pa -0.784 1.467 7.414
Pa 4.891 4.400 0.504
Se -0.476 4.400 3.006
Se -1.809 4.400 7.187
Se 1.326 2.947 6.084
Se 1.326 5.852 6.084
Se 2.782 0.014 1.834
Se 2.782 2.919 1.834
Se 5.917 1.467 0.731
Se 4.583 1.467 4.911
```

---

## ii
A plane-wave DFT calculation with PBE-GGA was carried out for crystalline LaPaSe4 at its relaxed geometry.

The mass density comes out at 6.8 g cm⁻³.

The structure in extended XYZ format:
```
6
Lattice="3.453 -3.453 0.000 3.453 3.453 0.000 -0.052 0.000 7.019" Properties=species:S:1:pos:R:3 pbc="T T T"
La 0.000 0.000 0.000
Pa 3.427 0.000 3.510
Se 1.682 1.720 5.152
Se 5.171 -1.720 1.867
Se 1.682 -1.720 5.152
Se 5.171 1.720 1.867
```

---

The calculated energies rank the structures as follows, beginning with the most stable: ii, i.

---

## i
A plane-wave DFT calculation with PBE-GGA was carried out for crystalline La2Pa3Se8 at its relaxed geometry.

The mass density comes out at 6.4 g cm⁻³. As for the density of states at the Fermi level: 0.91 states/eV/atom.

The structure in extended XYZ format:
```
13
Lattice="7.568 -4.144 0.000 7.568 4.144 0.000 -2.093 0.000 6.588" Properties=species:S:1:pos:R:3 pbc="T T T"
La 3.277 0.000 1.114
La 9.767 0.000 5.475
Pa 6.522 2.021 3.294
Pa 7.568 0.000 0.000
Pa 6.522 -2.021 3.294
Se 0.774 0.000 2.766
Se 5.537 1.958 0.578
Se 4.493 0.000 3.862
Se 7.506 1.958 6.010
Se 5.537 -1.958 0.578
Se 8.551 0.000 2.726
Se 7.506 -1.958 6.010
Se 12.270 0.000 3.822
```

---

## ii
A plane-wave DFT calculation with PBE-GGA was carried out for crystalline La2Pa3Se8 at its relaxed geometry.

The mass density comes out at 6.9 g cm⁻³. As for the density of states at the Fermi level: 0.99 states/eV/atom.

The structure in extended XYZ format:
```
13
Lattice="8.226 0.000 0.000 0.000 4.440 0.000 -3.057 0.000 10.493" Properties=species:S:1:pos:R:3 pbc="T T T"
La 1.361 0.000 2.292
La 3.808 0.000 8.200
Pa -1.529 0.000 5.246
Pa -0.319 2.220 8.423
Pa 5.487 2.220 2.070
Se -0.241 2.220 3.779
Se -1.738 0.000 9.508
Se 0.871 0.000 6.837
Se 2.837 2.220 1.054
Se 2.332 2.220 9.439
Se 4.297 0.000 3.655
Se 6.906 0.000 0.984
Se 5.409 2.220 6.714
```

---

The calculated energies rank the structures as follows, beginning with the most stable: i, ii.

---

## i
A plane-wave DFT calculation with PBE-GGA was carried out for crystalline LaPaSi2 at its relaxed geometry.

The mass density comes out at 7.9 g cm⁻³. As for the density of states at the Fermi level: 1.15 states/eV/atom.

The structure in extended XYZ format:
```
4
Lattice="3.332 0.000 0.000 0.000 3.332 0.000 0.000 0.000 8.073" Properties=species:S:1:pos:R:3 pbc="T T T"
La 0.000 0.000 0.000
Pa 0.000 0.000 4.036
Si 1.666 1.666 2.131
Si 1.666 1.666 5.942
```

---

## ii
A plane-wave DFT calculation with PBE-GGA was carried out for crystalline LaPaSi2 at its relaxed geometry.

The mass density comes out at 6.6 g cm⁻³. As for the density of states at the Fermi level: 0.61 states/eV/atom.

The structure in extended XYZ format:
```
4
Lattice="2.114 1.221 6.924 -2.114 1.221 6.924 0.000 -2.442 6.924" Properties=species:S:1:pos:R:3 pbc="T T T"
La 0.000 0.000 0.000
Pa 0.000 0.000 10.386
Si 0.000 0.000 4.999
Si 0.000 0.000 15.773
```

---

The calculated energies rank the structures as follows, beginning with the most stable: ii, i.

---

## i
A plane-wave DFT calculation with PBE-GGA was carried out for crystalline LaPaSi at its relaxed geometry.

The mass density comes out at 8.4 g cm⁻³. As for the density of states at the Fermi level: 1.91 states/eV/atom.

The structure in extended XYZ format:
```
6
Lattice="4.308 0.000 0.000 0.000 4.308 0.000 0.000 0.000 8.456" Properties=species:S:1:pos:R:3 pbc="T T T"
La 1.077 1.077 1.174
La 3.231 3.231 7.283
Pa 1.077 3.231 4.228
Pa 3.231 1.077 4.228
Si 1.077 1.077 6.335
Si 3.231 3.231 2.121
```

---

## ii
A plane-wave DFT calculation with PBE-GGA was carried out for crystalline LaPaSi at its relaxed geometry.

The mass density comes out at 9.1 g cm⁻³. As for the density of states at the Fermi level: 1.67 states/eV/atom.

The structure in extended XYZ format:
```
3
Lattice="4.541 0.000 0.000 -2.271 3.933 0.000 0.000 0.000 4.076" Properties=species:S:1:pos:R:3 pbc="T T T"
La 0.000 0.000 0.000
Pa 0.000 2.622 1.533
Si 2.271 1.311 2.671
```

---

The calculated energies rank the structures as follows, beginning with the most stable: i, ii.

---

## i
A plane-wave DFT calculation with PBE-GGA was carried out for crystalline La2SmPa at its relaxed geometry.

The mass density comes out at 8.4 g cm⁻³. As for the density of states at the Fermi level: 2.39 states/eV/atom.

The structure in extended XYZ format:
```
4
Lattice="2.859 1.651 4.586 -2.859 1.651 4.586 0.000 -3.302 4.586" Properties=species:S:1:pos:R:3 pbc="T T T"
La 0.000 0.000 3.179
La 0.000 0.000 10.579
Sm 0.000 0.000 6.879
Pa 0.000 0.000 0.000
```

---

## ii
A plane-wave DFT calculation with PBE-GGA was carried out for crystalline La2SmPa at its relaxed geometry.

The mass density comes out at 8.7 g cm⁻³. As for the density of states at the Fermi level: 1.80 states/eV/atom.

The structure in extended XYZ format:
```
4
Lattice="5.034 0.000 0.000 0.000 5.034 0.000 0.000 0.000 4.988" Properties=species:S:1:pos:R:3 pbc="T T T"
La 0.000 2.517 0.000
La 2.517 0.000 0.000
Sm 0.000 0.000 2.494
Pa 2.517 2.517 2.494
```

---

The calculated energies rank the structures as follows, beginning with the most stable: ii, i.

---

## i
A plane-wave DFT calculation with PBE-GGA was carried out for crystalline LaPaTc at its relaxed geometry.

The mass density comes out at 9.2 g cm⁻³. As for the density of states at the Fermi level: 0.89 states/eV/atom.

The structure in extended XYZ format:
```
3
Lattice="4.350 0.000 0.000 -2.175 3.767 0.000 0.000 0.000 5.167" Properties=species:S:1:pos:R:3 pbc="T T T"
La 0.000 0.000 0.000
Pa 2.175 1.256 2.583
Tc 0.000 2.511 2.583
```

---

## ii
A plane-wave DFT calculation with PBE-GGA was carried out for crystalline LaPaTc at its relaxed geometry.

The mass density comes out at 9.3 g cm⁻³. As for the density of states at the Fermi level: 1.01 states/eV/atom.

The structure in extended XYZ format:
```
6
Lattice="3.413 -2.128 0.000 3.413 2.128 0.000 -2.734 0.000 11.501" Properties=species:S:1:pos:R:3 pbc="T T T"
La -0.083 0.000 4.132
La 4.174 0.000 7.369
Pa 2.078 0.000 1.136
Pa 2.014 0.000 10.365
Tc -0.338 0.000 9.187
Tc 4.430 0.000 2.314
```

---

## iii
A plane-wave DFT calculation with PBE-GGA was carried out for crystalline LaPaTc at its relaxed geometry.

The mass density comes out at 9.8 g cm⁻³. As for the density of states at the Fermi level: 1.11 states/eV/atom.

The structure in extended XYZ format:
```
6
Lattice="4.135 -2.222 0.000 4.135 2.222 0.000 -2.771 0.000 8.630" Properties=species:S:1:pos:R:3 pbc="T T T"
La -0.068 0.000 3.445
La 5.568 0.000 5.186
Pa -0.016 0.000 7.536
Pa 5.515 0.000 1.094
Tc 2.596 0.000 1.752
Tc 2.903 0.000 6.879
```

---

## iv
A plane-wave DFT calculation with PBE-GGA was carried out for crystalline LaPaTc at its relaxed geometry.

The mass density comes out at 10.9 g cm⁻³. As for the density of states at the Fermi level: 1.16 states/eV/atom.

The structure in extended XYZ format:
```
3
Lattice="-1.756 1.756 5.798 1.756 -1.756 5.798 1.756 1.756 -5.798" Properties=species:S:1:pos:R:3 pbc="T T T"
La 0.000 0.000 0.000
Pa 0.000 0.000 8.047
Tc 0.000 0.000 3.505
```

---

The calculated energies rank the structures as follows, beginning with the most stable: iv, i, ii, iii.

---

## i
A plane-wave DFT calculation with PBE-GGA was carried out for crystalline LaPaTe4 at its relaxed geometry.

The mass density comes out at 5.9 g cm⁻³. As for the density of states at the Fermi level: 0.10 states/eV/atom.

The structure in extended XYZ format:
```
6
Lattice="5.169 -5.238 0.000 5.169 5.238 0.000 0.000 0.000 4.614" Properties=species:S:1:pos:R:3 pbc="T T T"
La 0.000 0.000 0.000
Pa 5.169 0.000 2.307
Te 2.193 0.000 2.307
Te 5.169 1.963 0.000
Te 5.169 -1.963 0.000
Te 8.144 0.000 2.307
```

---

## ii
A plane-wave DFT calculation with PBE-GGA was carried out for crystalline LaPaTe4 at its relaxed geometry.

The mass density comes out at 7.6 g cm⁻³. As for the density of states at the Fermi level: 0.85 states/eV/atom.

The structure in extended XYZ format:
```
12
Lattice="7.349 0.000 0.000 0.000 6.216 0.000 -2.664 0.000 8.467" Properties=species:S:1:pos:R:3 pbc="T T T"
La 0.595 1.554 3.667
La 4.090 4.662 4.800
Pa -0.747 1.554 7.920
Pa 5.432 4.662 0.547
Te -0.457 4.662 3.244
Te -1.792 4.662 7.672
Te 1.614 3.115 6.458
Te 1.614 6.209 6.458
Te 3.071 0.007 2.009
Te 3.071 3.101 2.009
Te 6.477 1.554 0.795
Te 5.142 1.554 5.223
```

---

The calculated energies rank the structures as follows, beginning with the most stable: ii, i.

---

## i
A plane-wave DFT calculation with PBE-GGA was carried out for crystalline LaPaTe2 at its relaxed geometry.

The mass density comes out at 9.2 g cm⁻³. As for the density of states at the Fermi level: 1.77 states/eV/atom.

The structure in extended XYZ format:
```
4
Lattice="0.000 3.833 3.833 3.833 0.000 3.833 3.833 3.833 0.000" Properties=species:S:1:pos:R:3 pbc="T T T"
La 0.000 0.000 0.000
Pa 3.833 3.833 3.833
Te 1.917 1.917 1.917
Te 5.750 5.750 5.750
```

---

## ii
A plane-wave DFT calculation with PBE-GGA was carried out for crystalline LaPaTe2 at its relaxed geometry.

The mass density comes out at 9.2 g cm⁻³. As for the density of states at the Fermi level: 1.66 states/eV/atom.

The structure in extended XYZ format:
```
4
Lattice="3.823 0.000 0.000 0.000 3.823 0.000 0.000 0.000 7.711" Properties=species:S:1:pos:R:3 pbc="T T T"
La 0.000 0.000 0.000
Pa 0.000 0.000 3.856
Te 1.911 1.911 2.041
Te 1.911 1.911 5.670
```

---

## iii
A plane-wave DFT calculation with PBE-GGA was carried out for crystalline LaPaTe2 at its relaxed geometry.

The mass density comes out at 7.0 g cm⁻³. As for the density of states at the Fermi level: 1.59 states/eV/atom.

The structure in extended XYZ format:
```
4
Lattice="2.037 1.176 10.341 -2.037 1.176 10.341 0.000 -2.352 10.341" Properties=species:S:1:pos:R:3 pbc="T T T"
La 0.000 0.000 0.000
Pa 0.000 0.000 15.511
Te 0.000 0.000 3.153
Te 0.000 0.000 27.869
```

---

The calculated energies rank the structures as follows, beginning with the most stable: ii, i, iii.

---

## i
A plane-wave DFT calculation with PBE-GGA was carried out for crystalline La2PaTe5 at its relaxed geometry.

The mass density comes out at 7.2 g cm⁻³. As for the density of states at the Fermi level: 0.79 states/eV/atom.

The structure in extended XYZ format:
```
32
Lattice="13.564 0.000 0.000 0.000 9.123 0.000 0.000 0.000 8.510" Properties=species:S:1:pos:R:3 pbc="T T T"
La 2.424 0.019 0.247
La 2.424 4.543 0.247
La 4.358 4.581 4.502
La 4.358 9.104 4.502
La 9.206 0.019 4.008
La 9.206 4.543 4.008
La 11.140 4.581 8.263
La 11.140 9.104 8.263
Pa 0.090 6.842 4.898
Pa 6.692 2.281 0.642
Pa 6.872 6.842 7.868
Pa 13.474 2.281 3.613
Te 0.017 6.842 8.123
Te 1.282 0.408 5.683
Te 1.282 4.153 5.683
Te 2.487 6.842 2.828
Te 2.909 2.281 2.628
Te 3.873 6.842 6.884
Te 4.295 2.281 7.083
Te 5.500 4.970 1.428
Te 5.500 8.715 1.428
Te 6.765 2.281 3.868
Te 6.799 6.842 4.643
Te 8.064 0.408 7.083
Te 8.064 4.153 7.083
Te 9.269 6.842 1.428
Te 9.691 2.281 1.627
Te 10.655 6.842 5.882
Te 11.077 2.281 5.683
Te 12.282 4.970 2.827
Te 12.282 8.715 2.827
Te 13.547 2.281 0.388
```

---

## ii
A plane-wave DFT calculation with PBE-GGA was carried out for crystalline La2PaTe5 at its relaxed geometry.

The mass density comes out at 5.3 g cm⁻³. As for the density of states at the Fermi level: 0.46 states/eV/atom.

The structure in extended XYZ format:
```
16
Lattice="3.125 -7.609 0.000 3.125 7.609 0.000 0.000 0.000 15.052" Properties=species:S:1:pos:R:3 pbc="T T T"
La 3.125 5.341 8.429
La 3.125 5.341 14.149
La 3.125 -5.341 0.903
La 3.125 -5.341 6.623
Pa 3.125 4.575 3.763
Pa 3.125 -4.575 11.289
Te 3.125 6.882 1.850
Te 3.125 6.882 5.676
Te 3.125 3.572 11.289
Te 3.125 2.789 1.195
Te 3.125 2.789 6.331
Te 3.125 -2.789 8.721
Te 3.125 -2.789 13.857
Te 3.125 -3.572 3.763
Te 3.125 -6.882 9.376
Te 3.125 -6.882 13.202
```

---

The calculated energies rank the structures as follows, beginning with the most stable: i, ii.

---

## i
A plane-wave DFT calculation with PBE-GGA was carried out for crystalline LaThPa2 at its relaxed geometry.

The mass density comes out at 12.3 g cm⁻³. As for the density of states at the Fermi level: 2.07 states/eV/atom.

The structure in extended XYZ format:
```
4
Lattice="4.768 0.000 0.000 0.000 4.768 0.000 0.000 0.000 4.956" Properties=species:S:1:pos:R:3 pbc="T T T"
La 0.000 0.000 0.000
Th 2.384 2.384 0.000
Pa 0.000 2.384 2.478
Pa 2.384 0.000 2.478
```

---

## ii
A plane-wave DFT calculation with PBE-GGA was carried out for crystalline LaThPa2 at its relaxed geometry.

The mass density comes out at 12.2 g cm⁻³. As for the density of states at the Fermi level: 1.80 states/eV/atom.

The structure in extended XYZ format:
```
4
Lattice="3.390 0.000 0.000 0.000 3.390 0.000 0.000 0.000 9.849" Properties=species:S:1:pos:R:3 pbc="T T T"
La 0.000 0.000 0.000
Th 0.000 0.000 4.924
Pa 1.695 1.695 2.494
Pa 1.695 1.695 7.354
```

---

The calculated energies rank the structures as follows, beginning with the most stable: ii, i.

---

## i
A plane-wave DFT calculation with PBE-GGA was carried out for crystalline LaTmPa at its relaxed geometry.

The mass density comes out at 10.0 g cm⁻³. As for the density of states at the Fermi level: 1.61 states/eV/atom.

The structure in extended XYZ format:
```
3
Lattice="-1.705 1.705 7.712 1.705 -1.705 7.712 1.705 1.705 -7.712" Properties=species:S:1:pos:R:3 pbc="T T T"
La 0.000 0.000 0.000
Tm 0.000 0.000 10.688
Pa 0.000 0.000 5.297
```

---

## ii
A plane-wave DFT calculation with PBE-GGA was carried out for crystalline LaTmPa at its relaxed geometry.

The mass density comes out at 10.1 g cm⁻³. As for the density of states at the Fermi level: 1.56 states/eV/atom.

The structure in extended XYZ format:
```
3
Lattice="3.436 0.000 0.000 -1.718 2.976 0.000 0.000 0.000 8.674" Properties=species:S:1:pos:R:3 pbc="T T T"
La 0.000 0.000 0.000
Tm 0.000 1.984 5.495
Pa 1.718 0.992 2.801
```

---

The calculated energies rank the structures as follows, beginning with the most stable: ii, i.